(1)
! Er8In2Ir3, relaxed, DFT GGA-PBE; values from VASP
&SYSTEM
  ibrav = 0, nat = 13, ntyp = 3
/
ATOMIC_SPECIES
Er 167.26 Er.upf
Ir 192.22 Ir.upf
In 114.82 In.upf
CELL_PARAMETERS angstrom
-1.530 0.286 4.638
1.374 -9.641 1.048
6.115 6.027 1.645
ATOMIC_POSITIONS crystal
Er 0.000 0.114 0.228
Er 0.000 0.611 0.222
Er 0.500 0.359 0.225
Er 0.000 0.389 0.778
Er 0.000 0.886 0.772
Er 0.500 0.865 0.225
Er 0.500 0.641 0.775
Er 0.500 0.135 0.775
Ir 0.000 0.747 0.000
Ir 0.000 0.253 0.000
Ir 0.500 0.000 0.000
In 0.500 0.745 0.490
In 0.500 0.255 0.510
! total magnetization: 0.00 μB per atom
! crystal system: orthorhombic
! density: 10.26 g/cm3
! electronic total energy: -5.82 eV per atom

(2)
! BaMn2GaSn, relaxed, DFT GGA-PBE; values from VASP
&SYSTEM
  ibrav = 0, nat = 5, ntyp = 4
/
ATOMIC_SPECIES
Mn 54.94 Mn.upf
Ba 137.33 Ba.upf
Ga 69.72 Ga.upf
Sn 118.71 Sn.upf
CELL_PARAMETERS angstrom
-1.399 0.327 4.531
-4.745 -2.932 -1.253
2.252 -4.067 0.989
ATOMIC_POSITIONS crystal
Mn 0.500 0.000 0.000
Mn 0.000 0.000 0.500
Ba 0.000 0.500 0.000
Ga 0.000 0.000 0.000
Sn 0.500 0.500 0.500
! total magnetization: 0.10 μB per atom
! crystal system: tetragonal
! density: 5.60 g/cm3
! electronic total energy: -4.28 eV per atom

Copy entry 1 word for word.
! Er8In2Ir3, relaxed, DFT GGA-PBE; values from VASP
&SYSTEM
  ibrav = 0, nat = 13, ntyp = 3
/
ATOMIC_SPECIES
Er 167.26 Er.upf
Ir 192.22 Ir.upf
In 114.82 In.upf
CELL_PARAMETERS angstrom
-1.530 0.286 4.638
1.374 -9.641 1.048
6.115 6.027 1.645
ATOMIC_POSITIONS crystal
Er 0.000 0.114 0.228
Er 0.000 0.611 0.222
Er 0.500 0.359 0.225
Er 0.000 0.389 0.778
Er 0.000 0.886 0.772
Er 0.500 0.865 0.225
Er 0.500 0.641 0.775
Er 0.500 0.135 0.775
Ir 0.000 0.747 0.000
Ir 0.000 0.253 0.000
Ir 0.500 0.000 0.000
In 0.500 0.745 0.490
In 0.500 0.255 0.510
! total magnetization: 0.00 μB per atom
! crystal system: orthorhombic
! density: 10.26 g/cm3
! electronic total energy: -5.82 eV per atom

- Number 1 is which compound?
  Er8In2Ir3

- Number 2 is which compound?
  BaMn2GaSn

- What is the formula in the first record?
  Er8In2Ir3